Computed, not measured: a relaxed Pu2Co3CuGe4 crystal at the PBE-GGA level of DFT.

Structure (POSCAR):
```
Pu2Co3CuGe4
1.0
4.088 0.000 0.000
0.000 4.088 0.000
0.000 0.000 9.773
Pu Co Cu Ge
2 3 1 4
Cartesian
2.044 0.000 2.396
0.000 2.044 7.378
0.000 0.000 4.887
2.044 0.000 8.537
0.000 2.044 1.236
2.044 2.044 4.887
2.044 2.044 0.000
0.000 0.000 0.000
2.044 0.000 6.210
0.000 2.044 3.563
```

Summary:
The density of states at the Fermi level is 27.99 states/eV/cell. As for the symmetry: No. 115. As for the formation energy: -0.356 eV/atom.



Computed, not measured: a relaxed Ho2CoGe3Ir4 crystal at the PBE-GGA level of DFT.

Structure (POSCAR):
```
Ho2CoGe3Ir4
1.0
-0.521 -4.097 0.018
1.819 -0.215 3.702
-9.166 1.186 4.573
Ho Co Ge Ir
2 1 3 4
Cartesian
-2.565 -1.750 1.159
-5.951 0.780 5.274
-3.934 -1.563 4.146
-4.583 0.593 2.286
-8.198 -1.022 3.969
-0.319 0.051 2.464
0.649 -2.156 1.860
0.000 0.000 0.000
-6.052 -1.299 2.898
-2.465 0.329 3.534
```

Summary:
The density of states at the Fermi level is 7.21 states/eV/cell. As for the symmetry: No. 115. As for the formation energy: -0.662 eV/atom.



Computed, not measured: a relaxed RbGeBiO4 crystal at the PBE-GGA level of DFT.

Structure (POSCAR):
```
RbGeBiO4
1.0
-3.181 -0.086 -5.373
0.358 -6.028 -0.115
-4.925 -0.406 5.922
Rb Ge Bi O
2 2 2 8
Cartesian
-6.622 -4.967 1.805
-1.125 -1.553 -1.372
-2.207 -4.678 0.452
-5.540 -1.842 -0.018
-4.593 -4.784 -1.421
-3.155 -1.736 1.855
-6.167 -3.275 -0.894
-1.413 -6.059 1.273
-1.581 -3.245 1.327
-6.334 -0.461 -0.840
-2.091 -4.638 -1.302
-5.656 -1.882 1.735
-3.992 -4.789 0.703
-3.755 -1.731 -0.270
```

Summary:
The density of states at the Fermi level is 0.00 states/eV/cell. Its energy relative to the elements, uncorrected is -1.56 eV/atom. As for the symmetry: No. 11.



Computed, not measured: a relaxed Ce5CoGe2 crystal at the PBE-GGA level of DFT.

Structure (POSCAR):
```
Ce5CoGe2
1.0
4.448 0.000 0.000
0.000 7.533 0.000
0.000 0.000 11.677
Ce Co Ge
10 2 4
Cartesian
0.000 0.000 5.838
0.000 3.767 0.000
0.000 6.642 2.301
0.000 0.891 9.375
0.000 4.657 8.140
0.000 2.876 3.537
2.224 5.418 5.117
2.224 2.115 6.560
2.224 5.882 10.956
2.224 1.651 0.721
0.000 3.767 5.838
0.000 0.000 0.000
2.224 4.476 2.062
2.224 3.057 9.615
2.224 6.824 7.900
2.224 0.710 3.776
```

Summary:
The density of states at the Fermi level is 38.66 states/eV/cell. Its energy above the most stable polymorph in this dataset is 0.0000 eV per atom. As for the symmetry: No. 55. As for the formation energy: -0.496 eV/atom.